DFT (PBE) results for a geometry-optimized CrCdFe2Au structure.

Its calculated formation energy is 1.32 eV per atom. As for the total energy: -0.1774 hartree per atom. For the total magnetic moment, the calculation gives 10.99 μB/cell.

The space group is P4/mmm (No. 123) and the conventional cell measures 4.7977, 4.7977 and 5.1500 Å, with angles of 90.00, 90.00 and 90.00 degrees. The asymmetric unit holds Cr at (0.0000, 0.0000, 0.0000), Cd at (0.5000, 0.5000, 0.0000), Fe at (0.0000, 0.5000, 0.5000) and Au at (0.5000, 0.5000, 0.5000).


DFT (PBE) results for a geometry-optimized CrCd2IrAu structure.

Its calculated formation energy is 0.67 eV per atom. As for the total energy: -0.1486 hartree per atom. For the total magnetic moment, the calculation gives 3.25 μB/cell.

The space group is P4/mmm (No. 123) and the conventional cell measures 5.1779, 5.1779 and 4.5923 Å, with angles of 90.00, 90.00 and 90.00 degrees. The asymmetric unit holds Cr at (0.0000, 0.0000, 0.0000), Cd at (0.0000, 0.5000, 0.5000), Ir at (0.0000, 0.0000, 0.5000) and Au at (0.5000, 0.5000, 0.0000).


DFT (PBE) results for a geometry-optimized LaCrCdAu2 structure.

Its calculated formation energy is 0.32 eV per atom. As for the total energy: -0.1502 hartree per atom. For the total magnetic moment, the calculation gives 4.49 μB/cell.

The space group is P4/mmm (No. 123) and the conventional cell measures 5.1637, 5.1637 and 5.0356 Å, with angles of 90.00, 90.00 and 90.00 degrees. The asymmetric unit holds La at (0.0000, 0.0000, 0.0000), Cr at (0.5000, 0.5000, 0.0000), Cd at (0.5000, 0.5000, 0.5000) and Au at (0.0000, 0.5000, 0.5000).


DFT (PBE) results for a geometry-optimized Na2CrCdAu structure.

Its calculated formation energy is 0.70 eV per atom. As for the total energy: -0.0952 hartree per atom. For the total magnetic moment, the calculation gives 4.63 μB/cell.

The space group is P4/mmm (No. 123) and the conventional cell measures 5.4902, 5.4902 and 5.2176 Å, with angles of 90.00, 90.00 and 90.00 degrees. The asymmetric unit holds Na at (0.0000, 0.5000, 0.0000), Cr at (0.0000, 0.0000, 0.5000), Cd at (0.0000, 0.0000, 0.0000) and Au at (0.5000, 0.5000, 0.5000).


Repeat the first record exactly.
DFT (PBE) results for a geometry-optimized CrCdFe2Au structure.

Its calculated formation energy is 1.32 eV per atom. As for the total energy: -0.1774 hartree per atom. For the total magnetic moment, the calculation gives 10.99 μB/cell.

The space group is P4/mmm (No. 123) and the conventional cell measures 4.7977, 4.7977 and 5.1500 Å, with angles of 90.00, 90.00 and 90.00 degrees. The asymmetric unit holds Cr at (0.0000, 0.0000, 0.0000), Cd at (0.5000, 0.5000, 0.0000), Fe at (0.0000, 0.5000, 0.5000) and Au at (0.5000, 0.5000, 0.5000).